SiHg2Te: optimized geometry, GGA-PBE.

Structure (CIF):
```
data_SiHg2Te
_symmetry_space_group_name_H-M 'P 1'
_symmetry_Int_Tables_number 1
_cell_length_a 3.0853
_cell_length_b 4.0238
_cell_length_c 8.3638
_cell_angle_alpha 90.00
_cell_angle_beta 95.62
_cell_angle_gamma 90.00
loop_
_symmetry_equiv_pos_as_xyz
'x,y,z'
loop_
_atom_site_label
_atom_site_type_symbol
_atom_site_fract_x
_atom_site_fract_y
_atom_site_fract_z
Si1 Si 0.0000 0.0000 0.0000
Hg1 Hg 0.0094 0.5000 0.7774
Hg2 Hg 0.9906 0.5000 0.2226
Te1 Te 0.0000 0.0000 0.5000
```

Properties
E_form (uncorrected)	0.2879	eV/atom
energy	-2.004	eV/atom
total moment	0.0	μB/f.u.
energy above the lowest structure with this stoichiometry	0.173	eV per atom